Density functional theory data (PBE-GGA) for a relaxed structure of InBrO.

Lattice parameters (Å, degrees): 3.6741 4.1417 9.9439 99.25 90.86 90.00
Element x y z (fractional)
Br1 0.7378 0.6324 0.1955
Br2 0.2622 0.3676 0.8045
In1 0.2457 0.7106 0.3980
In2 0.7543 0.2894 0.6020
O1 0.2487 0.2370 0.4664
O2 0.7513 0.7630 0.5336

Results
Formation energy without anion corrections: -1.251 eV/atom
Calculated total energy: -4.374 eV/atom
Magnetic moment: 0.00 μB per cell